A plane-wave DFT calculation with PBE was carried out for a relaxed BeTlPt crystal.

Geometry as POSCAR:
```
BeTlPt
1.0
-2.130 1.797 -2.720
-1.588 -0.893 3.442
1.177 3.651 1.490
Be Tl Pt
1 1 1
direct
0.000 0.000 0.167
0.667 0.333 0.667
0.333 0.667 0.167
```

Properties
Mass density   12551 kg/m3
E_tot   -4.12 eV per atom
Size of the total moment   0.00 μB per cell
SG   No. 187
Crystal system   hexagonal
Calculated volume   54 Å³/cell
DFT formation energy   -0.22 eV/f.u.
Relative energy among the computed polymorphs   44 meV/atom